[1]
# PBE SnTe2N, relaxed
data_SnTe2N
_chemical_formula_sum 'Sn2 Te4 N2'
_cell_length_a 3.3150
_cell_length_b 7.3277
_cell_length_c 9.0554
_cell_angle_alpha 91.36
_cell_angle_beta 99.25
_cell_angle_gamma 93.13
_space_group_name_H-M_alt 'P -1'
_space_group_IT_number 2
_space_group_name_Hall '-P 1'
loop_
_atom_site_label
_atom_site_type_symbol
_atom_site_fract_x
_atom_site_fract_y
_atom_site_fract_z
Sn1 Sn 0.1055 0.4144 0.2211
Te1 Te 0.0313 0.7960 0.0732
Te2 Te 0.2706 0.7413 0.4619
N1 N 0.3732 0.7295 0.6926
# Uncorrected energy, eV per atom: -4.344
# Crystal system: triclinic
# ρ, g/cm³: 5.95
# Energy above the lowest structure with this stoichiometry, meV/atom: 0
# Energy relative to the elements, uncorrected, meV per atom: 309

[2]
# PBE Sn2TeN, relaxed
data_Sn2TeN
_chemical_formula_sum 'Sn8 Te4 N4'
_cell_length_a 7.0047
_cell_length_b 7.0047
_cell_length_c 7.9226
_cell_angle_alpha 90.00
_cell_angle_beta 90.00
_cell_angle_gamma 90.00
_space_group_name_H-M_alt 'I -4 2 d'
_space_group_IT_number 122
_space_group_name_Hall 'I -4 2bw'
loop_
_atom_site_label
_atom_site_type_symbol
_atom_site_fract_x
_atom_site_fract_y
_atom_site_fract_z
Sn1 Sn 0.1539 0.2500 0.1250
Te1 Te 0.0000 0.0000 0.5000
N1 N 0.0000 0.0000 0.0000
# Uncorrected energy, eV per atom: -4.595
# Crystal system: tetragonal
# ρ, g/cm³: 6.48
# Energy above the lowest structure with this stoichiometry, meV/atom: 0
# Energy relative to the elements, uncorrected, meV per atom: 273

[3]
# PBE SnTeN, relaxed
data_SnTeN
_chemical_formula_sum 'Sn4 Te4 N4'
_cell_length_a 10.9068
_cell_length_b 4.5567
_cell_length_c 9.1166
_cell_angle_alpha 90.00
_cell_angle_beta 98.70
_cell_angle_gamma 90.00
_space_group_name_H-M_alt 'P 1 21/c 1'
_space_group_IT_number 14
_space_group_name_Hall '-P 2ybc'
loop_
_atom_site_label
_atom_site_type_symbol
_atom_site_fract_x
_atom_site_fract_y
_atom_site_fract_z
Sn1 Sn 0.1245 0.2503 0.3962
Te1 Te 0.1471 0.7501 0.1515
N1 N 0.4716 0.0827 0.4650
# Uncorrected energy, eV per atom: -5.308
# Crystal system: monoclinic
# ρ, g/cm³: 3.86
# Energy above the lowest structure with this stoichiometry, meV/atom: 0
# Energy relative to the elements, uncorrected, meV per atom: -151

Q: What is the uncorrected energy in the second record?
A: -4.595 eV per atom